Entry 1:
Compound: BaNaZnSe2
Source: Alexandria via LeMat-Bulk
Functional: PBE
Structure: optimized geometry

As for the crystal system: monoclinic. The value obtained for the formation energy without anion corrections is -0.983 eV/atom. For the density of states at the Fermi level, the calculation gives 4.19 states/eV per cell. The total DFT energy (no corrections) comes out at -16.40 eV/f.u.

The space group is P2/c (No. 13) and the conventional cell measures 7.726, 5.024 and 8.262 Å, with angles of 90.00, 101.51 and 90.00 degrees. Symmetry generates all atoms from Ba at (0.000, 0.202, 0.250), Na at (0.500, 0.480, 0.750), Zn at (0.500, 0.000, 0.000) and Se at (0.235, 0.299, 0.963).

Entry 2:
Compound: BaNa2Zn2Se4
Source: Alexandria via LeMat-Bulk
Functional: PBE
Structure: optimized geometry

As for the crystal system: monoclinic. The value obtained for the formation energy without anion corrections is -1.075 eV/atom. For the density of states at the Fermi level, the calculation gives 0.00 states/eV per cell. The total DFT energy (no corrections) comes out at -30.72 eV/f.u.

The space group is C2/m (No. 12) and the conventional cell measures 16.079, 4.163 and 8.915 Å, with angles of 90.00, 118.70 and 90.00 degrees. Symmetry generates all atoms from Ba at (0.000, 0.000, 0.000), Na at (0.108, 0.000, 0.634), Zn at (0.170, 0.500, 0.381), Se at (0.001, 0.500, 0.281) and Se at (0.232, 0.000, 0.293).

Entry 3:
Compound: BaNa2Zr3Se8
Source: Alexandria via LeMat-Bulk
Functional: PBE
Structure: optimized geometry

As for the crystal system: trigonal. The value obtained for the formation energy without anion corrections is -1.305 eV/atom. The total DFT energy (no corrections) comes out at -76.35 eV/f.u.

The space group is R3m (No. 160, hexagonal axes) and the conventional cell measures 8.1177, 8.1177 and 22.6128 Å, with angles of 90.00, 90.00 and 120.00 degrees. Symmetry generates all atoms from Ba at (0.0000, 0.0000, 0.0000), Na at (0.0000, 0.0000, 0.3709), Na at (0.0000, 0.0000, 0.7412), Zr at (0.1707, 0.3415, 0.2003), Se at (0.0000, 0.0000, 0.1377), Se at (0.0000, 0.0000, 0.6048), Se at (0.0219, 0.5110, 0.1351) and Se at (0.1873, 0.3746, 0.9342).

Entry 4:
Compound: BaNa3Si3
Source: Alexandria via LeMat-Bulk
Functional: PBE
Structure: optimized geometry

As for the crystal system: hexagonal. The value obtained for the formation energy without anion corrections is -0.143 eV/atom. For the density of states at the Fermi level, the calculation gives 5.84 states/eV per cell. The total DFT energy (no corrections) comes out at -23.15 eV/f.u.

The space group is P6_3/m (No. 176) and the conventional cell measures 10.9453, 10.9453 and 3.9359 Å, with angles of 90.00, 90.00 and 120.00 degrees. Symmetry generates all atoms from Ba at (0.3333, 0.6667, 0.2500), Na at (0.0995, 0.3172, 0.7500) and Si at (0.0452, 0.5715, 0.7500).

Entry 5:
Compound: BaNa3Si
Source: Alexandria via LeMat-Bulk
Functional: PBE
Structure: optimized geometry

As for the crystal system: cubic. The value obtained for the formation energy without anion corrections is 0.172 eV/atom. For the density of states at the Fermi level, the calculation gives 5.12 states/eV per cell. The total DFT energy (no corrections) comes out at -10.44 eV/f.u.

The space group is Pm-3m (No. 221) and the conventional cell measures 5.705, 5.705 and 5.705 Å, with angles of 90.00, 90.00 and 90.00 degrees. Symmetry generates all atoms from Ba at (0.000, 0.000, 0.000), Na at (0.000, 0.500, 0.500) and Si at (0.500, 0.500, 0.500).

Entry 6:
Compound: BaNaSi2
Source: Alexandria via LeMat-Bulk
Functional: PBE
Structure: optimized geometry

As for the crystal system: tetragonal. The value obtained for the formation energy without anion corrections is 0.144 eV/atom. For the density of states at the Fermi level, the calculation gives 6.48 states/eV per cell. The total DFT energy (no corrections) comes out at -13.51 eV/f.u.

The space group is I4_1/amd (No. 141, origin choice 2) and the conventional cell measures 5.033, 5.033 and 19.424 Å, with angles of 90.00, 90.00 and 90.00 degrees. Symmetry generates all atoms from Ba at (0.000, 0.250, 0.375), Na at (0.000, 0.250, 0.875) and Si at (0.000, 0.000, 0.000).

Entry 7:
Compound: Ba3NaSi23
Source: Alexandria via LeMat-Bulk
Functional: PBE
Structure: optimized geometry

As for the crystal system: cubic. The value obtained for the formation energy without anion corrections is -0.106 eV/atom. For the density of states at the Fermi level, the calculation gives 26.57 states/eV per cell. The total DFT energy (no corrections) comes out at -134.67 eV/f.u.

The space group is Pm-3n (No. 223) and the conventional cell measures 10.325, 10.325 and 10.325 Å, with angles of 90.00, 90.00 and 90.00 degrees. Symmetry generates all atoms from Ba at (0.000, 0.250, 0.500), Na at (0.000, 0.000, 0.000), Si at (0.000, 0.305, 0.121), Si at (0.000, 0.500, 0.250) and Si at (0.184, 0.184, 0.184).

Entry 8:
Compound: BaNaSi3
Source: Alexandria via LeMat-Bulk
Functional: PBE
Structure: optimized geometry

As for the crystal system: cubic. The value obtained for the formation energy without anion corrections is 1.401 eV/atom. For the density of states at the Fermi level, the calculation gives 6.75 states/eV per cell. The total DFT energy (no corrections) comes out at -12.51 eV/f.u.

The space group is Pm-3m (No. 221) and the conventional cell measures 5.772, 5.772 and 5.772 Å, with angles of 90.00, 90.00 and 90.00 degrees. Symmetry generates all atoms from Ba at (0.000, 0.000, 0.000), Na at (0.500, 0.500, 0.500) and Si at (0.000, 0.000, 0.500).

We obtain total magnetic moment values of 0.000; 0.000; 0.000; 0.000; 0.000; 0.000; 0.000; 0.000 Bohr magnetons per cell for the records listed above, in that order.